AlAg6Au2 | PBE | optimized geometry

Cell lengths 7.521, 14.517, 2.984 Å; angles 90.00, 101.02, 90.00 degrees
Space group C2/m (No. 12)
Asymmetric unit:
Al  0.000  0.000  0.000 x2
Ag  0.162  0.330  0.817 x8
Ag  0.172  0.500  0.327 x4
Au  0.000  0.149  0.500 x4

**Density of states at the Fermi level**: 0.2712 states/eV per atom
**ΔE_f**: -0.05 eV/atom

---

CaGaCu | PBE | optimized geometry

Cell lengths 10.189, 4.475, 7.244 Å; angles 90.00, 133.03, 90.00 degrees
Space group C2/m (No. 12)
Asymmetric unit:
Ca  0.054  0.000  0.307 x4
Ga  0.170  0.500  0.105 x4
Cu  0.165  0.500  0.731 x4

**Density of states at the Fermi level**: 0.4965 states/eV per atom
**ΔE_f**: -0.35 eV/atom

---

Ta5Rh | PBE | optimized geometry

Cell lengths 3.290, 13.729, 4.638 Å; angles 90.00, 90.00, 90.00 degrees
Space group Cmmm (No. 65)
Asymmetric unit:
Ta  0.000  0.000  0.000 x2
Ta  0.000  0.164  0.500 x4
Ta  0.000  0.333  0.000 x4
Rh  0.000  0.500  0.500 x2

**Density of states at the Fermi level**: 0.6957 states/eV per atom
**ΔE_f**: -0.21 eV/atom
**Relative energy among the computed polymorphs**: 0.022 eV per atom